1.
Computed, not measured: an optimized crystal structure of CdBi2Rh2 at the PBEsol level of DFT.

Summary:
DFT formation energy   0.080 eV per atom
Crystal system   tetragonal
Total moment   0.0 μB/f.u.

abc: 3.9362 3.9362 8.1408
angles: 103.99 103.99 90.00
Positions (direct):
Rh (0.2500, 0.7500, 0.5000)
Rh (0.7500, 0.2500, 0.5000)
Bi (0.3690, 0.3690, 0.7379)
Bi (0.6310, 0.6310, 0.2621)
Cd (0.0000, 0.0000, 0.0000)


2.
Computed, not measured: an optimized crystal structure of CuWO4 at the PBEsol level of DFT.

Summary:
Crystal system   triclinic
E_form (uncorrected)   -1560 meV per atom
Total moment   0.9 μB/f.u.

abc: 4.6575 4.8762 5.8458
angles: 87.47 83.36 87.22
Each line ends with the local moment (μB).
Positions (direct):
Cu (0.5039, 0.2481, 0.3442)  0.57
Cu (0.4961, 0.7519, 0.6558)  0.57
W (0.9859, 0.2538, 0.8296)  0.03
W (0.0141, 0.7462, 0.1704)  0.03
O (0.7468, 0.4302, 0.6472)  0.07
O (0.2532, 0.5698, 0.3528)  0.07
O (0.7815, 0.4285, 0.1189)  0.08
O (0.2185, 0.5715, 0.8811)  0.08
O (0.2670, 0.0936, 0.6184)  0.12
O (0.7330, 0.9064, 0.3816)  0.12
O (0.2194, 0.0570, 0.0904)  0.03
O (0.7806, 0.9430, 0.9096)  0.03